Entry from Alexandria via LeMat-Bulk: crystalline La2YHg at its relaxed geometry (PBE).

The structure in extended XYZ format:
```
4
Lattice="-3.739 -2.423 0.504 0.775 -1.848 -3.140 4.494 -6.791 0.693" Properties=species:S:1:pos:R:3 pbc="T T T"
Hg 2.033 -7.627 -1.637
La 4.473 -6.763 0.668
La -0.604 -3.302 -0.407
Y 2.756 -4.481 -1.096
```


Entry from Alexandria via LeMat-Bulk: crystalline LaY5Hg6 at its relaxed geometry (PBE).

The structure in extended XYZ format:
```
12
Lattice="-1.245 -3.691 3.574 7.326 -0.865 1.659 0.014 7.484 3.840" Properties=species:S:1:pos:R:3 pbc="T T T"
Y 2.843 -0.433 4.451
Y -0.404 3.731 3.728
Y 3.663 -0.433 0.830
Y -0.828 0.061 3.685
Y 3.252 3.360 4.622
Hg 4.406 1.214 6.720
Hg 0.871 1.631 5.919
Hg 1.274 -2.070 2.217
Hg 4.821 4.997 6.857
Hg 5.224 1.296 3.154
Hg 1.689 1.714 2.353
La 0.000 0.000 0.000
```


Entry from Alexandria via LeMat-Bulk: crystalline LaY2Hg at its relaxed geometry (PBE).

The structure in extended XYZ format:
```
4
Lattice="-1.507 1.978 -2.769 3.122 -1.769 -2.963 -4.317 -5.262 -1.408" Properties=species:S:1:pos:R:3 pbc="T T T"
Hg -2.111 -2.573 -0.688
La -2.345 -3.738 -3.894
Y -0.080 -0.098 -0.026
Y -0.325 -1.276 -3.235
```


Entry from Alexandria via LeMat-Bulk: crystalline La3Y2Hg3 at its relaxed geometry (PBE).

The structure in extended XYZ format:
```
8
Lattice="-0.090 3.452 1.649 -5.544 0.135 -0.585 1.618 -6.710 9.696" Properties=species:S:1:pos:R:3 pbc="T T T"
La -0.908 -3.721 7.740
La -3.109 0.598 3.019
La -0.045 1.726 0.824
Y -3.411 -2.551 5.155
Y -0.606 -0.572 5.605
Hg -3.715 -1.886 8.186
Hg -2.772 0.067 -0.293
Hg -0.302 -1.237 2.574
```


| no. | formation energy from the elements (eV/atom) | size of the total moment (μB/f.u.) |
| --- | --- | --- |
| 1 | -0.1738 | 0.00 |
| 2 | -0.4994 | 0.68 |
| 3 | -0.1696 | 0.00 |
| 4 | -0.3713 | 0.45 |